# Cd2BPPt6, optimized geometry, DFT PBE-GGA
data_Cd2BPPt6
_cell_length_a 5.702
_cell_length_b 5.714
_cell_length_c 6.675
_cell_angle_alpha 113.05
_cell_angle_beta 90.10
_cell_angle_gamma 119.87
_space_group_name_H-M_alt 'P -1'
_space_group_IT_number 2
loop_
_space_group_symop_operation_xyz
'x,y,z'
'-x,-y,-z'
loop_
_atom_site_label
_atom_site_fract_x
_atom_site_fract_y
_atom_site_fract_z
_atom_site_occupancy
Cd1 0.244 0.492 0.188 1
B1 0.000 0.000 0.500 1
P1 0.500 0.000 0.000 1
Pt1 0.215 0.910 0.685 1
Pt2 0.234 0.463 0.740 1
Pt3 0.302 0.088 0.312 1
# Crystal system: triclinic
# Formation energy from the elements (eV/atom): -0.29

---

# V2ZnSiHg, optimized geometry, DFT PBE-GGA
data_V2ZnSiHg
_cell_length_a 4.555
_cell_length_b 4.555
_cell_length_c 4.485
_cell_angle_alpha 90.00
_cell_angle_beta 90.00
_cell_angle_gamma 90.00
_space_group_name_H-M_alt 'P 4/m m m'
_space_group_IT_number 123
_space_group_name_Hall '-P 4 2'
loop_
_atom_site_label
_atom_site_fract_x
_atom_site_fract_y
_atom_site_fract_z
_atom_site_occupancy
V1 0.000 0.500 0.000 1
Zn1 0.000 0.000 0.500 1
Si1 0.000 0.000 0.000 1
Hg1 0.500 0.500 0.500 1
# Formation energy (no corrections) (eV/atom): 0.6466
# Crystal system: tetragonal

---

# Mg2ZnCu9, optimized geometry, DFT PBE-GGA
data_Mg2ZnCu9
_cell_length_a 4.9188
_cell_length_b 4.9188
_cell_length_c 24.2688
_cell_angle_alpha 90.00
_cell_angle_beta 90.00
_cell_angle_gamma 120.00
_space_group_name_H-M_alt 'R -3 m'
_space_group_IT_number 166
_space_group_name_Hall '-R 3 2"'
loop_
_atom_site_label
_atom_site_fract_x
_atom_site_fract_y
_atom_site_fract_z
_atom_site_occupancy
Mg1 0.0000 0.0000 0.1425 1
Zn1 0.0000 0.0000 0.0000 1
Cu1 0.0000 0.0000 0.3331 1
Cu2 0.0000 0.0000 0.5000 1
Cu3 0.0031 0.5015 0.9156 1
# Crystal system: trigonal
# Formation energy from the elements (eV/atom): 0.02

---

# InAg3, optimized geometry, DFT PBE-GGA
data_InAg3
_cell_length_a 4.180
_cell_length_b 4.180
_cell_length_c 17.358
_cell_angle_alpha 90.00
_cell_angle_beta 90.00
_cell_angle_gamma 90.00
_space_group_name_H-M_alt 'I 4/m m m'
_space_group_IT_number 139
_space_group_name_Hall '-I 4 2'
loop_
_atom_site_label
_atom_site_fract_x
_atom_site_fract_y
_atom_site_fract_z
_atom_site_occupancy
In1 0.000 0.000 0.126 1
Ag1 0.000 0.000 0.376 1
Ag2 0.000 0.500 0.000 1
Ag3 0.000 0.500 0.250 1
# Crystal system: tetragonal
# Formation energy from the elements (eV/atom): -0.03

---

# Ac2Cd2Ge, optimized geometry, DFT PBE-GGA
data_Ac2Cd2Ge
_cell_length_a 4.060
_cell_length_b 4.060
_cell_length_c 19.197
_cell_angle_alpha 90.00
_cell_angle_beta 90.00
_cell_angle_gamma 90.00
_space_group_name_H-M_alt 'I 4/m m m'
_space_group_IT_number 139
_space_group_name_Hall '-I 4 2'
loop_
_atom_site_label
_atom_site_fract_x
_atom_site_fract_y
_atom_site_fract_z
_atom_site_occupancy
Ac1 0.000 0.000 0.089 1
Cd1 0.000 0.500 0.250 1
Ge1 0.000 0.000 0.500 1
# Crystal system: tetragonal
# Formation energy from the elements (eV/atom): -0.26

---

# ScNbRu, optimized geometry, DFT PBE-GGA
data_ScNbRu
_cell_length_a 3.142
_cell_length_b 3.142
_cell_length_c 23.635
_cell_angle_alpha 90.00
_cell_angle_beta 90.00
_cell_angle_gamma 90.00
_space_group_name_H-M_alt 'I 4/m m m'
_space_group_IT_number 139
_space_group_name_Hall '-I 4 2'
loop_
_atom_site_label
_atom_site_fract_x
_atom_site_fract_y
_atom_site_fract_z
_atom_site_occupancy
Sc1 0.000 0.000 0.073 1
Nb1 0.000 0.000 0.210 1
Ru1 0.000 0.000 0.355 1
# Crystal system: tetragonal
# Formation energy from the elements (eV/atom): -0.29

---

# Nd4SiAsBr2, optimized geometry, DFT PBE-GGA
data_Nd4SiAsBr2
_cell_length_a 7.402
_cell_length_b 4.267
_cell_length_c 7.724
_cell_angle_alpha 90.00
_cell_angle_beta 108.57
_cell_angle_gamma 90.00
_space_group_name_H-M_alt 'P 1 2/m 1'
_space_group_IT_number 10
loop_
_space_group_symop_operation_xyz
'x,y,z'
'-x,-y,-z'
'-x,y,-z'
'x,-y,z'
loop_
_atom_site_label
_atom_site_fract_x
_atom_site_fract_y
_atom_site_fract_z
_atom_site_occupancy
Nd1 0.230 0.000 0.209 1
Nd2 0.258 0.500 0.792 1
Si1 0.000 0.500 0.000 1
As1 0.500 0.000 0.000 1
Br1 0.000 0.000 0.500 1
Br2 0.500 0.500 0.500 1
# Formation energy (no corrections) (eV/atom): -1.2654
# Crystal system: monoclinic

---

# Sm7Ir2Pt2, optimized geometry, DFT PBE-GGA
data_Sm7Ir2Pt2
_cell_length_a 8.681
_cell_length_b 10.561
_cell_length_c 7.002
_cell_angle_alpha 90.00
_cell_angle_beta 90.00
_cell_angle_gamma 90.00
_space_group_name_H-M_alt 'C m m m'
_space_group_IT_number 65
_space_group_name_Hall '-C 2 2'
loop_
_atom_site_label
_atom_site_fract_x
_atom_site_fract_y
_atom_site_fract_z
_atom_site_occupancy
Sm1 0.000 0.000 0.000 1
Sm2 0.000 0.500 0.251 1
Sm3 0.250 0.250 0.258 1
Ir1 0.000 0.277 0.000 1
Pt1 0.236 0.000 0.500 1
# Crystal system: orthorhombic
# Formation energy from the elements (eV/atom): -0.61
# Energy above the most stable polymorph in this dataset (meV per atom): 148

---

# Sn5Pb3Au12, optimized geometry, DFT PBE-GGA
data_Sn5Pb3Au12
_cell_length_a 16.301
_cell_length_b 16.301
_cell_length_c 16.301
_cell_angle_alpha 90.00
_cell_angle_beta 90.00
_cell_angle_gamma 90.00
_space_group_name_H-M_alt 'I a -3 d'
_space_group_IT_number 230
_space_group_name_Hall '-I 4bd 2c 3'
loop_
_atom_site_label
_atom_site_fract_x
_atom_site_fract_y
_atom_site_fract_z
_atom_site_occupancy
Sn1 0.000 0.000 0.000 1
Sn2 0.000 0.250 0.375 1
Pb1 0.000 0.250 0.125 1
Au1 0.013 0.075 0.652 1
# Crystal system: cubic
# Formation energy from the elements (eV/atom): 0.07

---

# Ti4CoSb, optimized geometry, DFT PBE-GGA
data_Ti4CoSb
_cell_length_a 14.573
_cell_length_b 5.045
_cell_length_c 6.169
_cell_angle_alpha 90.00
_cell_angle_beta 108.67
_cell_angle_gamma 90.00
_space_group_name_H-M_alt 'C 1 2/c 1'
_space_group_IT_number 15
loop_
_space_group_symop_operation_xyz
'x,y,z'
'-x,-y,-z'
'-x,y,-z+1/2'
'x,-y,z+1/2'
'x+1/2,y+1/2,z'
'-x+1/2,-y+1/2,-z'
'-x+1/2,y+1/2,-z+1/2'
'x+1/2,-y+1/2,z+1/2'
loop_
_atom_site_label
_atom_site_fract_x
_atom_site_fract_y
_atom_site_fract_z
_atom_site_occupancy
Ti1 0.099 0.113 0.194 1
Ti2 0.195 0.375 0.799 1
Co1 0.250 0.250 0.500 1
Sb1 0.000 0.365 0.750 1
# Formation energy (no corrections) (eV/atom): -0.0694
# Crystal system: monoclinic

---

# BeZnSe2, optimized geometry, DFT PBE-GGA
data_BeZnSe2
_cell_length_a 3.445
_cell_length_b 3.445
_cell_length_c 18.333
_cell_angle_alpha 90.00
_cell_angle_beta 90.00
_cell_angle_gamma 90.00
_space_group_name_H-M_alt 'I -4 m 2'
_space_group_IT_number 119
_space_group_name_Hall 'I -4 -2'
loop_
_atom_site_label
_atom_site_fract_x
_atom_site_fract_y
_atom_site_fract_z
_atom_site_occupancy
Be1 0.000 0.000 0.000 1
Zn1 0.000 0.500 0.750 1
Se1 0.000 0.000 0.500 1
Se2 0.000 0.500 0.250 1
# Formation energy (no corrections) (eV/atom): -0.0180
# Crystal system: tetragonal
# Energy above the most stable polymorph in this dataset (meV per atom): 728

---

# CsMn4Cl9, optimized geometry, DFT PBE-GGA
data_CsMn4Cl9
_cell_length_a 11.865
_cell_length_b 11.865
_cell_length_c 10.458
_cell_angle_alpha 90.00
_cell_angle_beta 90.00
_cell_angle_gamma 90.00
_space_group_name_H-M_alt 'I 41/a'
_space_group_IT_number 88
loop_
_space_group_symop_operation_xyz
'x,y,z'
'-x,-y,-z'
'-y+3/4,x+1/4,z+1/4'
'y+3/4,-x+1/4,-z+1/4'
'-x+1/2,-y,z+1/2'
'x+1/2,y,-z+1/2'
'y+3/4,-x+3/4,z+3/4'
'-y+3/4,x+3/4,-z+3/4'
'x+1/2,y+1/2,z+1/2'
'-x+1/2,-y+1/2,-z+1/2'
'-y+1/4,x+3/4,z+3/4'
'y+1/4,-x+3/4,-z+3/4'
'-x,-y+1/2,z'
'x,y+1/2,-z'
'y+1/4,-x+1/4,z+1/4'
'-y+1/4,x+1/4,-z+1/4'
loop_
_atom_site_label
_atom_site_fract_x
_atom_site_fract_y
_atom_site_fract_z
_atom_site_occupancy
Cs1 0.000 0.250 0.125 1
Mn1 0.105 0.046 0.628 1
Cl1 0.000 0.250 0.625 1
Cl2 0.093 0.038 0.380 1
Cl3 0.109 0.052 0.863 1
# Formation energy (no corrections) (eV/atom): -1.2310
# Crystal system: tetragonal

---

Total magnetic moment (computed, μB per cell): 0.000, 2.590, 0.000, 0.000, 0.000, 0.000, 0.000, 0.000, 0.000, 0.001, 0.000, 80.000